DFT (PBE) results for crystalline DyY3Ir8 at its relaxed geometry.

extended XYZ file:
```
12
Lattice="2.6777 1.5460 8.7392 -2.6777 1.5460 8.7392 0.0000 -3.0919 8.7392" Properties=species:S:1:pos:R:3 pbc="T T T"
Dy 0.0000 0.0000 0.0000
Y 0.0000 0.0000 9.8299
Y 0.0000 0.0000 13.1073
Y 0.0000 0.0000 22.9419
Ir 0.0000 0.0000 4.9150
Ir -1.3395 -0.7734 20.2067
Ir 0.0000 -1.5464 15.8415
Ir -1.3392 0.7732 15.8415
Ir 0.0000 0.0000 18.0236
Ir 1.3395 -0.7734 20.2067
Ir 0.0000 1.5467 20.2067
Ir 1.3392 0.7732 15.8414
```

Results
As for the energy relative to the elements: -9.67 eV per formula unit. The total DFT energy (no corrections) is -104.502 eV per cell. Its total moment is 0.02 μB per formula unit. The space group is R3m.

DFT (PBE) results for crystalline NaTcIr at its relaxed geometry.

extended XYZ file:
```
3
Lattice="0.0000 3.0006 3.0006 3.0006 0.0000 3.0006 3.0006 3.0006 0.0000" Properties=species:S:1:pos:R:3 pbc="T T T"
Na 0.0000 0.0000 0.0000
Tc 3.0006 3.0006 3.0006
Ir 1.5003 1.5003 1.5003
```

Results
The offset from the most stable computed form comes out at 0 meV/atom. The total DFT energy (no corrections) is -18.110 eV per cell. Its total moment is 0.01 μB per formula unit. The space group is F-43m.

DFT (PBE) results for crystalline SmInGa4Co at its relaxed geometry.

extended XYZ file:
```
7
Lattice="4.3595 0.0000 0.0000 0.0000 4.3595 0.0000 0.0000 0.0000 6.9284" Properties=species:S:1:pos:R:3 pbc="T T T"
Sm 0.0000 0.0000 0.0000
In 2.1797 2.1797 0.0000
Ga 0.0000 2.1797 2.1917
Ga 0.0000 2.1797 4.7367
Ga 2.1797 0.0000 2.1917
Ga 2.1797 0.0000 4.7367
Co 0.0000 0.0000 3.4642
```

Results
The total DFT energy (no corrections) is -29.546 eV per cell. Its total moment is 0.00 μB per formula unit. The space group is P4/mmm.

DFT (PBE) results for crystalline Tb2Ta5Se at its relaxed geometry.

extended XYZ file:
```
8
Lattice="3.8533 0.0000 0.0000 0.0000 3.8533 0.0000 0.0000 0.0000 13.2410" Properties=species:S:1:pos:R:3 pbc="T T T"
Tb 0.0000 0.0000 1.7304
Tb 0.0000 0.0000 11.5106
Ta 0.0000 0.0000 6.6205
Ta 0.0000 1.9266 4.2706
Ta 0.0000 1.9266 8.9704
Ta 1.9266 0.0000 4.2706
Ta 1.9266 0.0000 8.9704
Se 1.9266 1.9266 6.6205
```

Results
The total DFT energy (no corrections) is -67.593 eV per cell. Its total moment is 0.06 μB per formula unit. The space group is P4/mmm.

DFT (PBE) results for crystalline NdCoCuSi2 at its relaxed geometry.

extended XYZ file:
```
5
Lattice="-2.0300 2.0300 4.8699 2.0300 -2.0300 4.8699 2.0300 2.0300 -4.8699" Properties=species:S:1:pos:R:3 pbc="T T T"
Nd 0.0000 0.0000 0.0000
Co 0.0000 2.0300 2.4350
Cu 2.0300 0.0000 2.4350
Si 0.0000 0.0000 3.6305
Si 0.0000 0.0000 6.1093
```

Results
The total DFT energy (no corrections) is -29.492 eV per cell. Its total moment is 0.53 μB per formula unit. The space group is I-4m2.

DFT (PBE) results for crystalline Gd2YAgHg3Au2 at its relaxed geometry.

extended XYZ file:
```
9
Lattice="3.7817 0.0000 0.0000 0.0000 6.9118 3.9949 0.0000 -6.9118 3.9949" Properties=species:S:1:pos:R:3 pbc="T T T"
Gd 0.0000 -4.1161 3.9949
Gd 0.0000 4.1161 3.9949
Y 0.0000 0.0000 4.8464
Ag 0.0000 0.0000 1.6148
Hg 1.8908 -1.8568 2.6920
Hg 1.8908 1.8568 2.6920
Hg 1.8908 0.0000 7.4507
Au 1.8908 -2.3014 5.6081
Au 1.8908 2.3014 5.6081
```

Results
As for the energy relative to the elements: -5.33 eV per formula unit. The total DFT energy (no corrections) is -31.350 eV per cell. Its total moment is 0.01 μB per formula unit. The space group is Amm2.

DFT (PBE) results for crystalline KTcPO at its relaxed geometry.

extended XYZ file:
```
8
Lattice="4.1238 0.0000 0.0000 0.0000 4.1238 0.0000 0.0000 0.0000 10.2917" Properties=species:S:1:pos:R:3 pbc="T T T"
K 1.0310 1.0310 1.5832
K 3.0929 3.0929 8.7084
Tc 1.0310 3.0929 5.1458
Tc 3.0929 1.0310 5.1458
P 1.0310 1.0310 6.2247
P 3.0929 3.0929 4.0670
O 1.0310 3.0929 0.0000
O 3.0929 1.0310 0.0000
```

Results
The offset from the most stable computed form comes out at 443 meV/atom. The total DFT energy (no corrections) is -45.696 eV per cell. Its total moment is 0.62 μB per formula unit. The space group is P4/nmm.

DFT (PBE) results for crystalline KGdNp at its relaxed geometry.

extended XYZ file:
```
3
Lattice="0.0000 3.9508 3.9508 3.9508 0.0000 3.9508 3.9508 3.9508 0.0000" Properties=species:S:1:pos:R:3 pbc="T T T"
K 0.0000 0.0000 0.0000
Gd 5.9262 5.9262 5.9262
Np 1.9754 1.9754 1.9754
```

Results
The total DFT energy (no corrections) is -13.209 eV per cell. Its total moment is 6.84 μB per formula unit. The space group is F-43m.

DFT (PBE) results for crystalline AcHgNO at its relaxed geometry.

extended XYZ file:
```
8
Lattice="4.2030 0.0000 0.0000 0.0000 6.4386 0.0000 0.0000 0.0000 5.8639" Properties=species:S:1:pos:R:3 pbc="T T T"
Ac 0.0000 1.4372 0.0000
Ac 0.0000 5.0014 2.9319
Hg 2.1015 1.7021 2.8927
Hg 2.1015 4.7365 5.8246
N 0.0000 1.0539 2.6110
N 0.0000 5.3847 5.5429
O 2.1015 2.3300 5.2962
O 2.1015 4.1086 2.3642
```

Results
The offset from the most stable computed form comes out at 164 meV/atom. The total DFT energy (no corrections) is -43.512 eV per cell. Its total moment is 0.00 μB per formula unit. The space group is Pmc2_1.

DFT (PBE) results for crystalline ZnH2C4S2N2 at its relaxed geometry.

extended XYZ file:
```
66
Lattice="8.3814 4.8390 4.3397 -8.3814 4.8390 4.3397 0.0000 -9.6780 4.3397" Properties=species:S:1:pos:R:3 pbc="T T T"
Zn -4.3067 2.2187 5.4246
Zn -4.0748 -2.6203 7.5944
Zn 0.2319 -4.8390 5.4246
Zn -0.2319 4.8390 7.5944
Zn 4.0748 2.6203 5.4246
Zn 4.3067 -2.2187 7.5944
H -1.8696 -1.1790 2.4935
H -0.0863 -2.2087 4.0160
H -1.8696 1.1790 4.0160
H -0.0863 2.2086 2.4935
H 1.9559 -1.0296 2.4935
H 1.9559 1.0296 4.0160
H -1.9559 -1.0296 9.0030
H -1.9559 1.0296 10.5255
H 0.0863 -2.2087 10.5255
H 1.8696 -1.1790 9.0030
H 0.0863 2.2086 9.0030
H 1.8696 1.1790 10.5255
C -6.3366 0.0028 5.1012
C -1.9240 -2.2030 2.8644
C -5.2107 -0.6473 5.7480
C -0.9458 -2.7677 3.6451
C -3.1708 -5.4863 7.9179
C -1.9240 2.2030 3.6451
C -0.9458 2.7677 2.8644
C -2.0448 -4.8362 7.2710
C 2.8698 -0.5648 2.8644
C 3.1659 -5.4891 5.1012
C 2.8698 0.5648 3.6451
C 3.1659 -4.1889 5.7480
C -3.1659 4.1889 7.2710
C -2.8698 -0.5648 9.3739
C -3.1659 5.4891 7.9179
C -2.8698 0.5648 10.1546
C 2.0448 4.8362 5.7480
C 0.9458 -2.7677 10.1546
C 1.9240 -2.2030 9.3739
C 3.1708 5.4863 5.1012
C 0.9458 2.7677 9.3739
C 5.2107 0.6473 7.2710
C 1.9240 2.2030 10.1546
C 6.3366 -0.0028 7.9179
S -6.4531 1.6945 4.8244
S -4.6941 -4.7413 8.1946
S -3.6874 0.0977 6.0248
S 1.7590 -6.4358 4.8244
S -1.9283 -3.1445 6.9943
S 1.7590 -3.2422 6.0248
S -1.7590 3.2422 6.9943
S 1.9283 3.1445 6.0248
S -1.7590 6.4358 8.1946
S 3.6874 -0.0977 6.9943
S 4.6941 4.7413 4.8244
S 6.4531 -1.6945 8.1946
N -5.3587 -1.9248 6.1558
N -1.0124 -4.0749 3.9860
N -3.0227 2.9142 3.9860
N -1.0124 -5.6032 6.8632
N -4.3463 3.6784 6.8632
N -4.0352 -1.1607 9.0330
N 4.0351 1.1607 3.9860
N 4.3463 -3.6784 6.1558
N 1.0124 5.6032 6.1558
N 3.0227 -2.9142 9.0330
N 1.0124 4.0749 9.0330
N 5.3587 1.9248 6.8632
```

Results
The total DFT energy (no corrections) is -421.365 eV per cell. The space group is R-3c.

DFT (PBE) results for crystalline BeGaSiIr at its relaxed geometry.

extended XYZ file:
```
4
Lattice="0.0000 2.9627 2.9627 2.9627 0.0000 2.9627 2.9627 2.9627 0.0000" Properties=species:S:1:pos:R:3 pbc="T T T"
Be 0.0000 0.0000 0.0000
Ga 1.4813 1.4813 1.4813
Si 2.9627 2.9627 2.9627
Ir 4.4440 4.4440 4.4440
```

Results
The offset from the most stable computed form comes out at 10 meV/atom. The total DFT energy (no corrections) is -20.848 eV per cell. Its total moment is 0.00 μB per formula unit. The space group is F-43m.

DFT (PBE) results for crystalline NiAgBMo at its relaxed geometry.

extended XYZ file:
```
4
Lattice="0.0000 2.9445 2.9445 2.9445 0.0000 2.9445 2.9445 2.9445 0.0000" Properties=species:S:1:pos:R:3 pbc="T T T"
Ni 0.0000 0.0000 0.0000
Ag 1.4722 1.4722 1.4722
B 4.4167 4.4167 4.4167
Mo 2.9445 2.9445 2.9445
```

Results
The offset from the most stable computed form comes out at 192 meV/atom. The total DFT energy (no corrections) is -22.794 eV per cell. Its total moment is 0.47 μB per formula unit. The space group is F-43m.

DFT (PBE) results for crystalline NbMoAs4 at its relaxed geometry.

extended XYZ file:
```
6
Lattice="4.6429 -1.6795 0.0000 4.6429 1.6795 0.0000 -3.7944 0.0000 6.8441" Properties=species:S:1:pos:R:3 pbc="T T T"
Nb 0.0000 0.0000 0.0000
Mo 1.3746 0.0000 2.7202
As -2.4480 0.0000 4.5279
As 0.0095 0.0000 4.9560
As 4.0339 0.0000 2.1087
As 6.6410 0.0000 0.6603
```

Results
The total DFT energy (no corrections) is -41.820 eV per cell. Its total moment is 0.01 μB per formula unit. The space group is Cm.

DFT (PBE) results for crystalline NaAgMo at its relaxed geometry.

extended XYZ file:
```
3
Lattice="0.0000 3.3130 3.3130 3.3130 0.0000 3.3130 3.3130 3.3130 0.0000" Properties=species:S:1:pos:R:3 pbc="T T T"
Na 0.0000 0.0000 0.0000
Ag 4.9695 4.9695 4.9695
Mo 3.3130 3.3130 3.3130
```

Results
The offset from the most stable computed form comes out at 0 meV/atom. The total DFT energy (no corrections) is -10.980 eV per cell. Its total moment is 4.02 μB per formula unit. The space group is F-43m.

DFT (PBE) results for crystalline Hf2Pa3Zn at its relaxed geometry.

extended XYZ file:
```
6
Lattice="4.1884 0.0000 0.0000 0.0000 4.1884 0.0000 0.0000 0.0000 8.1506" Properties=species:S:1:pos:R:3 pbc="T T T"
Hf 0.0000 2.0942 2.0318
Hf 2.0942 0.0000 6.1188
Pa 0.0000 0.0000 0.0000
Pa 0.0000 2.0942 5.0078
Pa 2.0942 0.0000 3.1427
Zn 2.0942 2.0942 0.0000
```

Results
The offset from the most stable computed form comes out at 0 meV/atom. As for the energy relative to the elements: 2.36 eV per formula unit. The total DFT energy (no corrections) is -47.301 eV per cell. Its total moment is 0.00 μB per formula unit. The space group is P-4m2.

DFT (PBE) results for crystalline NaSnTe4Au3 at its relaxed geometry.

extended XYZ file:
```
9
Lattice="6.6880 0.0000 0.0000 0.0000 6.6880 0.0000 0.0000 0.0000 6.6880" Properties=species:S:1:pos:R:3 pbc="T T T"
Na 0.0000 0.0000 0.0000
Sn 3.3440 3.3440 3.3440
Te 1.7035 1.7035 1.7035
Te 1.7035 4.9845 4.9845
Te 4.9845 1.7035 4.9845
Te 4.9845 4.9845 1.7035
Au 0.0000 3.3440 3.3440
Au 3.3440 0.0000 3.3440
Au 3.3440 3.3440 0.0000
```

Results
The offset from the most stable computed form comes out at 107 meV/atom. The total DFT energy (no corrections) is -28.222 eV per cell. The space group is P-43m.

DFT (PBE) results for crystalline KSnPtO at its relaxed geometry.

extended XYZ file:
```
8
Lattice="9.2084 0.0000 0.0000 0.0000 1.6189 6.3083 0.0000 -1.6189 6.3083" Properties=species:S:1:pos:R:3 pbc="T T T"
K 0.0000 0.0000 0.0000
K 4.6042 0.0000 1.1118
Sn 2.1066 0.0000 9.2651
Sn 7.1018 0.0000 9.2651
Pt 0.0000 0.0000 3.4224
Pt 4.6042 0.0000 10.7378
O 3.3060 0.0000 4.6645
O 5.9024 0.0000 4.6645
```

Results
The offset from the most stable computed form comes out at 62 meV/atom. The total DFT energy (no corrections) is -35.347 eV per cell. Its total moment is 0.02 μB per formula unit. The space group is Amm2.

DFT (PBE) results for crystalline ZrBe at its relaxed geometry.

extended XYZ file:
```
16
Lattice="4.1049 0.0000 0.0000 0.0000 15.3657 0.0000 0.0000 0.0000 4.1088" Properties=species:S:1:pos:R:3 pbc="T T T"
Zr 1.0262 0.0004 1.0273
Zr 1.0262 2.2247 3.0823
Zr 1.0262 5.4582 3.0823
Zr 1.0262 7.6824 1.0273
Zr 3.0787 15.3653 3.0814
Zr 3.0787 7.6833 3.0814
Zr 3.0787 9.9075 1.0265
Zr 3.0787 13.1410 1.0265
Be 1.0262 3.8414 1.0225
Be 1.0262 10.0258 3.0771
Be 1.0262 11.5243 0.9975
Be 1.0262 13.0227 3.0771
Be 3.0787 2.3430 1.0317
Be 3.0787 3.8414 3.1113
Be 3.0787 5.3399 1.0317
Be 3.0787 11.5243 3.0862
```

Results
The total DFT energy (no corrections) is -95.551 eV per cell. Its total moment is 0.00 μB per formula unit. The space group is Pmmn.

DFT (PBE) results for crystalline SrMo2W2 at its relaxed geometry.

extended XYZ file:
```
5
Lattice="-2.1514 2.1514 5.8161 2.1514 -2.1514 5.8161 2.1514 2.1514 -5.8161" Properties=species:S:1:pos:R:3 pbc="T T T"
Sr 0.0000 0.0000 0.0000
Mo 0.0000 0.0000 4.3587
Mo 0.0000 0.0000 7.2735
W 2.1514 0.0000 2.9080
W 0.0000 2.1514 2.9080
```

Results
The offset from the most stable computed form comes out at 0 meV/atom. The total DFT energy (no corrections) is -46.196 eV per cell. Its total moment is 0.08 μB per formula unit. The space group is I4/mmm.

DFT (PBE) results for crystalline Tb2GdNi4Ge4 at its relaxed geometry.

extended XYZ file:
```
11
Lattice="-2.0566 3.3690 6.8086 2.0566 -3.3690 6.8086 2.0566 3.3690 -6.8086" Properties=species:S:1:pos:R:3 pbc="T T T"
Tb 0.0000 0.0000 1.7630
Tb 0.0000 0.0000 11.8542
Gd 0.0000 3.3690 0.0000
Ni 2.0566 2.0547 -2.4211
Ni 2.0566 2.0547 2.4211
Ni 0.0000 1.3143 4.3875
Ni 0.0000 1.3143 9.2297
Ge 2.0566 1.3032 0.0000
Ge 2.0566 0.0000 3.8466
Ge 0.0000 3.3690 2.9620
Ge 0.0000 2.0658 6.8086
```

Results
The total DFT energy (no corrections) is -62.707 eV per cell. Its total moment is 0.00 μB per formula unit. The space group is Immm.